Tb4NdHoS8 after structural relaxation, computed with PBE.

a b c (Å): 8.123 8.123 8.109
angles (deg): 59.94 59.94 60.00
Atoms (fractional coordinates):
Tb  0.625  0.625  0.126
Tb  0.999  0.502  0.500
Tb  0.502  0.999  0.500
Tb  0.999  0.999  0.500
Nd  0.375  0.375  0.874
Ho  0.999  0.999  0.002
S  0.238  0.783  0.742
S  0.783  0.238  0.742
S  0.238  0.238  0.742
S  0.240  0.240  0.281
S  0.759  0.227  0.255
S  0.227  0.759  0.255
S  0.759  0.759  0.255
S  0.757  0.757  0.730

**E_form (uncorrected)**: -1.930 eV/atom


ReI after structural relaxation, computed with PBE.

a b c (Å): 8.824 8.824 8.824
angles (deg): 90.00 90.00 90.00
Site moments in Bohr magnetons follow the coordinates.
Atoms (fractional coordinates):
Re  0.401  0.401  0.401  0.84
Re  0.401  0.599  0.599  0.84
Re  0.599  0.401  0.599  0.84
Re  0.599  0.599  0.401  0.84
Re  0.901  0.901  0.901  0.84
Re  0.901  0.099  0.099  0.84
Re  0.099  0.901  0.099  0.84
Re  0.099  0.099  0.901  0.84
I  0.222  0.222  0.222  -0.02
I  0.222  0.778  0.778  -0.02
I  0.778  0.222  0.778  -0.02
I  0.778  0.778  0.222  -0.02
I  0.722  0.722  0.722  -0.02
I  0.722  0.278  0.278  -0.02
I  0.278  0.722  0.278  -0.02
I  0.278  0.278  0.722  -0.02

**Energy above the most stable polymorph in this dataset**: 1.38 eV per formula unit
**E_form (uncorrected)**: 1.219 eV/atom


Ac2TiH after structural relaxation, computed with PBE.

a b c (Å): 3.591 3.591 10.002
angles (deg): 79.66 79.66 60.00
Site moments in Bohr magnetons follow the coordinates.
Atoms (fractional coordinates):
H  0.500  0.500  0.500  0.01
Ac  0.108  0.108  0.675  0.05
Ac  0.892  0.892  0.325  0.05
Ti  0.000  0.000  0.000  1.45


PmYTm6 after structural relaxation, computed with PBE.

a b c (Å): 6.970 6.970 6.970
angles (deg): 110.27 110.27 110.27
Site moments in Bohr magnetons follow the coordinates.
Atoms (fractional coordinates):
Pm  0.000  0.000  0.000  0.15
Y  0.500  0.500  0.500  0.13
Tm  0.250  0.749  0.250  0.07
Tm  0.250  0.250  0.749  0.07
Tm  0.750  0.251  0.750  0.07
Tm  0.251  0.750  0.750  0.07
Tm  0.750  0.750  0.251  0.07
Tm  0.749  0.250  0.250  0.07

**Energy above the most stable polymorph in this dataset**: 1.02 eV per formula unit
**Calculated formation energy**: 5.9 kcal/mol of atoms


CdNiMo2 after structural relaxation, computed with PBE.

a b c (Å): 2.729 2.729 8.307
angles (deg): 90.00 90.00 89.88
Atoms (fractional coordinates):
Cd  0.500  0.500  0.750
Mo  0.000  0.000  0.031
Mo  0.000  0.000  0.469
Ni  0.500  0.500  0.250

**Calculated formation energy**: 5.8 kcal/mol of atoms


La12PmHo3 after structural relaxation, computed with PBE.

a b c (Å): 5.211 5.211 20.831
angles (deg): 90.00 90.00 90.00
Atoms (fractional coordinates):
La  0.500  0.500  0.000
La  0.500  0.500  0.251
La  0.500  0.500  0.500
La  0.500  0.500  0.749
La  0.500  0.000  0.126
La  0.500  0.000  0.375
La  0.500  0.000  0.625
La  0.500  0.000  0.874
La  0.000  0.500  0.126
La  0.000  0.500  0.375
La  0.000  0.500  0.625
La  0.000  0.500  0.874
Pm  0.000  0.000  0.000
Ho  0.000  0.000  0.251
Ho  0.000  0.000  0.500
Ho  0.000  0.000  0.749

**Calculated formation energy**: 0.2 kcal/mol of atoms


TbDyTmAl after structural relaxation, computed with PBE.

a b c (Å): 4.731 4.751 4.748
angles (deg): 90.00 90.00 90.00
Atoms (fractional coordinates):
Tb  0.000  0.500  0.500
Dy  0.000  0.000  0.000
Tm  0.500  0.000  0.500
Al  0.500  0.500  0.000

**Energy above the most stable polymorph in this dataset**: 0.00 eV per formula unit
**Calculated formation energy**: -4.4 kcal/mol of atoms


Pm3ErTl2 after structural relaxation, computed with PBE.

a b c (Å): 6.674 6.651 9.665
angles (deg): 110.12 110.20 90.00
Site moments in Bohr magnetons follow the coordinates.
Atoms (fractional coordinates):
Pm  0.424  0.677  0.353  0.10
Pm  0.576  0.323  0.647  0.10
Pm  0.071  0.823  0.647  0.10
Pm  0.929  0.177  0.353  0.10
Pm  0.500  0.750  0.000  0.16
Pm  0.500  0.250  0.000  0.16
Er  0.000  0.250  0.000  0.24
Er  0.000  0.750  0.000  0.24
Tl  0.380  0.135  0.271  0.01
Tl  0.620  0.865  0.729  0.01
Tl  0.109  0.365  0.729  0.01
Tl  0.891  0.635  0.271  0.01

**Energy above the most stable polymorph in this dataset**: 0.23 eV per formula unit
**Calculated formation energy**: -5.3 kcal/mol of atoms


Going through the records in order, we get energy values of -87.9, -92.5, -17.6, -36.0, -27.4, -77.5, -18.2, -49.9 eV/cell.
Going through the records in order, we get total magnetization values of 0.000, 8.109, 2.136, 0.919, 0.000, 0.000, 0.000, 2.246 Bohr magnetons per cell.